Entry 1:
# KGaH

An optimized crystal structure of KGaH (PBE, the Alexandria database).

The space group is P2_1/m (No. 11) and the conventional cell measures 5.601, 4.560 and 6.427 Å, with angles of 90.00, 115.76 and 90.00 degrees. The asymmetric unit holds K at (0.127, 0.250, 0.295), Ga at (0.451, 0.250, 0.917) and H at (0.131, 0.250, 0.724).

Its energy above the lowest structure with this stoichiometry is 0.033 eV/atom.



Entry 2:
# Pm2ZnHg8

An optimized crystal structure of Pm2ZnHg8 (PBE, the Alexandria database).

The space group is C2/m (No. 12) and the conventional cell measures 17.718, 4.884 and 6.747 Å, with angles of 90.00, 110.69 and 90.00 degrees. The asymmetric unit holds Pm at (0.206, 0.000, 0.198), Zn at (0.000, 0.500, 0.500), Hg at (0.007, 0.000, 0.231), Hg at (0.117, 0.500, 0.900), Hg at (0.130, 0.500, 0.364) and Hg at (0.169, 0.000, 0.677).

Its energy above the lowest structure with this stoichiometry is 0.025 eV/atom.



Entry 3:
# ScNiW2

An optimized crystal structure of ScNiW2 (PBE, the Alexandria database).

The space group is Imm2 (No. 44) and the conventional cell measures 3.353, 4.575 and 8.356 Å, with angles of 90.00, 90.00 and 90.00 degrees. The asymmetric unit holds Sc at (0.000, 0.000, 0.000), Ni at (0.000, 0.500, 0.753), W at (0.000, 0.000, 0.491) and W at (0.000, 0.500, 0.227).

Its energy above the lowest structure with this stoichiometry is 0.160 eV/atom.



Entry 4:
# PmAgC2O6

An optimized crystal structure of PmAgC2O6 (PBE, the Alexandria database).

The space group is C2/c (No. 15) and the conventional cell measures 9.682, 8.872 and 7.475 Å, with angles of 90.00, 120.96 and 90.00 degrees. The asymmetric unit holds Pm at (0.000, 0.090, 0.250), Ag at (0.000, 0.428, 0.750), C at (0.244, 0.132, 0.784), O at (0.099, 0.113, 0.621), O at (0.153, 0.284, 0.223) and O at (0.228, 0.445, 0.051).



Entry 5:
# AlAgMo2

An optimized crystal structure of AlAgMo2 (PBE, the Alexandria database).

The space group is R-3m (No. 166, hexagonal axes) and the conventional cell measures 2.8107, 2.8107 and 28.3479 Å, with angles of 90.00, 90.00 and 120.00 degrees. The asymmetric unit holds Al at (0.0000, 0.0000, 0.0000), Ag at (0.0000, 0.0000, 0.5000) and Mo at (0.0000, 0.0000, 0.2539).



Entry 6:
# SnGe2MoS

An optimized crystal structure of SnGe2MoS (PBE, the Alexandria database).

The space group is P4/mmm (No. 123) and the conventional cell measures 5.064, 5.064 and 4.528 Å, with angles of 90.00, 90.00 and 90.00 degrees. The asymmetric unit holds Sn at (0.000, 0.000, 0.000), Ge at (0.000, 0.500, 0.500), Mo at (0.500, 0.500, 0.500) and S at (0.500, 0.500, 0.000).

Its energy above the lowest structure with this stoichiometry is 0.000 eV/atom.



Entry 7:
# Pu2HfAg

An optimized crystal structure of Pu2HfAg (PBE, the Alexandria database).

The space group is P4/mmm (No. 123) and the conventional cell measures 3.920, 3.920 and 6.288 Å, with angles of 90.00, 90.00 and 90.00 degrees. The asymmetric unit holds Pu at (0.000, 0.000, 0.240), Hf at (0.500, 0.500, 0.500) and Ag at (0.500, 0.500, 0.000).

Its energy above the lowest structure with this stoichiometry is 0.050 eV/atom.



Entry 8:
# Tb6In3Ag

An optimized crystal structure of Tb6In3Ag (PBE, the Alexandria database).

The space group is P2_1/m (No. 11) and the conventional cell measures 9.315, 5.322 and 11.657 Å, with angles of 90.00, 108.51 and 90.00 degrees. The asymmetric unit holds Tb at (0.040, 0.250, 0.415), Tb at (0.169, 0.750, 0.173), Tb at (0.260, 0.250, 0.004), Tb at (0.346, 0.750, 0.808), Tb at (0.365, 0.250, 0.340), Tb at (0.406, 0.250, 0.628), In at (0.028, 0.750, 0.879), In at (0.120, 0.250, 0.717), In at (0.275, 0.750, 0.473) and Ag at (0.459, 0.750, 0.099).



Entry 9:
# HoCu2Ru

An optimized crystal structure of HoCu2Ru (PBE, the Alexandria database).

The space group is Fm-3m (No. 225) and the conventional cell measures 6.353, 6.353 and 6.353 Å, with angles of 90.00, 90.00 and 90.00 degrees. The asymmetric unit holds Ho at (0.000, 0.000, 0.000), Cu at (0.250, 0.250, 0.250) and Ru at (0.000, 0.000, 0.500).

Its energy above the lowest structure with this stoichiometry is 0.075 eV/atom.



Entry 10:
# NaFeWN3

An optimized crystal structure of NaFeWN3 (PBE, the Alexandria database).

The space group is P2_1/m (No. 11) and the conventional cell measures 6.560, 3.078 and 8.533 Å, with angles of 90.00, 109.87 and 90.00 degrees. The asymmetric unit holds Na at (0.034, 0.250, 0.320), Fe at (0.434, 0.250, 0.887), W at (0.447, 0.750, 0.637), N at (0.253, 0.250, 0.656), N at (0.336, 0.750, 0.386) and N at (0.405, 0.250, 0.096).



Entry 11:
# K7Te6P

An optimized crystal structure of K7Te6P (PBE, the Alexandria database).

The space group is Ibam (No. 72) and the conventional cell measures 8.843, 16.513 and 17.785 Å, with angles of 90.00, 90.00 and 90.00 degrees. The asymmetric unit holds K at (0.000, 0.000, 0.250), K at (0.156, 0.289, 0.122), K at (0.223, 0.019, 0.000), Te at (0.050, 0.165, 0.500), Te at (0.168, 0.410, 0.326) and P at (0.000, 0.500, 0.250).



Entry 12:
# U2Zn16Os

An optimized crystal structure of U2Zn16Os (PBE, the Alexandria database).

The space group is R3m (No. 160, hexagonal axes) and the conventional cell measures 9.0299, 9.0299 and 12.9570 Å, with angles of 90.00, 90.00 and 120.00 degrees. The asymmetric unit holds U at (0.0000, 0.0000, 0.0000), U at (0.0000, 0.0000, 0.3382), Zn at (0.0000, 0.0000, 0.7573), Zn at (0.9999, 0.2891, 0.6557), Zn at (0.0066, 0.5033, 0.8080), Zn at (0.1693, 0.3385, 0.4911), Zn at (0.1747, 0.3493, 0.8425) and Os at (0.0000, 0.0000, 0.5363).



The evaluated VASP energy for the records listed, in turn: -8.0; -15.8; -37.1; -73.6; -27.1; -26.7; -40.4; -42.1; -22.1; -48.9; -42.3; -54.6 eV per formula unit.